w | First-principles (GGA-PBE) data for an optimized crystal structure of Pm3GaSi3, as listed in Alexandria via LeMat-Bulk.

Lattice parameters (Å, degrees): 9.567 9.567 9.567 155.99 153.58 36.00
Fractional positions:
Pm 0.000 0.000 0.000
Pm 0.189 0.689 0.500
Pm 0.369 0.369 0.000
Ga 0.619 0.119 0.500
Si 0.539 0.539 0.000
Si 0.752 0.252 0.500
Si 0.830 0.830 0.000

Computed properties:
Its space group is Imm2 (44). As for the density of states at the Fermi level: 4.35 states/eV/f.u.

---

x | First-principles (GGA-PBE) data for an optimized crystal structure of Pm3GaSi3, as listed in Alexandria via LeMat-Bulk.

Lattice parameters (Å, degrees): 8.600 8.600 5.996 90.00 90.00 120.00
Fractional positions:
Pm 0.064 0.369 0.250
Pm 0.305 0.936 0.250
Pm 0.369 0.305 0.750
Pm 0.631 0.695 0.250
Pm 0.695 0.064 0.750
Pm 0.936 0.631 0.750
Ga 0.333 0.667 0.750
Ga 0.667 0.333 0.250
Si 0.064 0.367 0.750
Si 0.304 0.936 0.750
Si 0.367 0.304 0.250
Si 0.633 0.696 0.750
Si 0.696 0.064 0.250
Si 0.936 0.633 0.250

Computed properties:
Its space group is P6_3/m (176). As for the density of states at the Fermi level: 1.10 states/eV/f.u.

---

Which of them is most stable? Easy: w.

---

w | First-principles (GGA-PBE) data for an optimized crystal structure of Pm3GaSi2, as listed in Alexandria via LeMat-Bulk.

Lattice parameters (Å, degrees): 11.821 4.200 11.912 90.00 90.00 90.00
Fractional positions:
Pm 0.059 0.250 0.120
Pm 0.123 0.750 0.561
Pm 0.199 0.250 0.800
Pm 0.301 0.750 0.300
Pm 0.377 0.250 0.061
Pm 0.441 0.750 0.620
Pm 0.559 0.250 0.380
Pm 0.623 0.750 0.939
Pm 0.699 0.250 0.700
Pm 0.801 0.750 0.200
Pm 0.877 0.250 0.439
Pm 0.941 0.750 0.880
Ga 0.135 0.250 0.366
Ga 0.365 0.750 0.866
Ga 0.635 0.250 0.134
Ga 0.865 0.750 0.634
Si 0.024 0.750 0.316
Si 0.189 0.750 0.992
Si 0.311 0.250 0.492
Si 0.476 0.250 0.816
Si 0.524 0.750 0.184
Si 0.689 0.750 0.508
Si 0.811 0.250 0.008
Si 0.976 0.250 0.684

Computed properties:
Its space group is Pnma (62). As for the density of states at the Fermi level: 3.99 states/eV/f.u.

---

x | First-principles (GGA-PBE) data for an optimized crystal structure of Pm3GaSi2, as listed in Alexandria via LeMat-Bulk.

Lattice parameters (Å, degrees): 7.470 7.470 7.470 64.53 64.53 64.53
Fractional positions:
Pm 0.055 0.750 0.445
Pm 0.250 0.555 0.945
Pm 0.445 0.055 0.750
Pm 0.555 0.945 0.250
Pm 0.750 0.445 0.055
Pm 0.945 0.250 0.555
Ga 0.000 0.000 0.000
Ga 0.500 0.500 0.500
Si 0.149 0.149 0.149
Si 0.351 0.351 0.351
Si 0.649 0.649 0.649
Si 0.851 0.851 0.851

Computed properties:
Its space group is R-3c (167). As for the density of states at the Fermi level: 6.71 states/eV/f.u.

---

Which of them is most stable? Easy: w.